# TeWN2F PBE with a Hubbard U relaxed
# Total magnetization: 0.708 μB per atom
# DFT total energy: -23.4 eV for the cell shown
# Space-group type: P4/mmm, No. 123
data_TeWN2F
_chemical_formula_sum 'Te1 W1 N2 F1'
_cell_length_a 4.254
_cell_length_b 4.254
_cell_length_c 4.153
_cell_angle_alpha 90.00
_cell_angle_beta 90.00
_cell_angle_gamma 90.00
_space_group_name_H-M_alt 'P 1'
_space_group_IT_number 1
_space_group_name_Hall 'P 1'
loop_
_atom_site_label
_atom_site_type_symbol
_atom_site_fract_x
_atom_site_fract_y
_atom_site_fract_z
N1 N 0.500 0.000 0.000
N2 N 0.000 0.500 0.000
F1 F 0.000 0.000 0.500
Te1 Te 0.000 0.000 0.000
W1 W 0.500 0.500 0.500